Record 1
The following is a DFT calculation (PBE) of crystalline BeZnCdIr at its relaxed geometry.

Raw total energy (eV per atom): -3.8384
Energy relative to the elements (eV/atom): -0.1444
M_tot (Bohr magnetons per cell): 0.000
Relative energy among the computed polymorphs (meV per atom): 39

POSCAR file:
```
BeZnCdIr
1.0
2.9709 0.0000 0.0000
0.0000 2.9709 0.0000
0.0000 0.0000 6.6801
Be Zn Cd Ir
1 1 1 1
direct
0.0000 0.0000 0.0000 Be
0.5000 0.5000 0.7510 Zn
0.0000 0.0000 0.4454 Cd
0.5000 0.5000 0.1381 Ir
```

=====

Record 2
The following is a DFT calculation (PBE) of crystalline La5GaNi2 at its relaxed geometry.

Raw total energy (eV per atom): -5.2267
Energy relative to the elements (eV/atom): -0.3234
M_tot (Bohr magnetons per cell): 0.000

POSCAR file:
```
La5GaNi2
1.0
-3.9996 3.9996 6.7351
3.9996 -3.9996 6.7351
3.9996 3.9996 -6.7351
La Ga Ni
10 2 4
direct
0.0000 0.0000 0.0000 La
0.0202 0.5202 0.8224 La
0.1977 0.0202 0.5000 La
0.3023 0.8023 0.8224 La
0.4798 0.3023 0.5000 La
0.5000 0.5000 0.0000 La
0.5202 0.6977 0.5000 La
0.6977 0.1977 0.1776 La
0.8023 0.9798 0.5000 La
0.9798 0.4798 0.1776 La
0.2500 0.2500 0.0000 Ga
0.7500 0.7500 0.0000 Ga
0.1220 0.3780 0.5000 Ni
0.3780 0.8780 0.2561 Ni
0.6220 0.1220 0.7439 Ni
0.8780 0.6220 0.5000 Ni
```